This record from the Alexandria database describes a relaxed KO crystal. The functional is PBE.

It has space group Imm2 (No. 44), with a = 4.390 Å, b = 11.011 Å, c = 5.308 Å, α = 90.00°, β = 90.00° and γ = 90.00°. Symmetry generates all atoms from K at (0.000, 0.000, 0.000), K at (0.000, 0.308, 0.072), O at (0.000, 0.350, 0.580) and O at (0.000, 0.500, 0.725).

The value obtained for the energy relative to the elements, uncorrected is -774 meV/atom. Its density is 2.14 g/cm3. The total magnetization comes out at 2.0 μB/cell.